[1]
## SbIrSN2 (PBE-GGA)

Data for a relaxed SbIrSN2 crystal.

raw formation energy	1.838	eV/atom
polymorph energy (0 for the lowest one)	953	meV/atom

Lattice parameters (Å, degrees): 3.9131 3.9131 5.3177 90.00 90.00 90.00
Atoms (fractional coordinates):
Sb (0.0000, 0.0000, 0.0000)
Ir (0.5000, 0.5000, 0.5000)
S (0.0000, 0.0000, 0.5000)
N (0.0000, 0.5000, 0.0000)
N (0.5000, 0.0000, 0.0000)


[2]
## Ca2ZnCdAg6 (PBE-GGA)

Data for a relaxed Ca2ZnCdAg6 crystal.

energy relative to the elements	0.11	eV per atom

Lattice parameters (Å, degrees): 7.1377 7.1377 7.1377 60.00 60.00 60.00
Atoms (fractional coordinates):
Ca (0.2500, 0.2500, 0.2500)
Ca (0.7500, 0.7500, 0.7500)
Zn (0.0000, 0.0000, 0.0000)
Cd (0.5000, 0.5000, 0.5000)
Ag (0.2411, 0.2411, 0.7589)
Ag (0.2411, 0.7589, 0.2411)
Ag (0.2411, 0.7589, 0.7589)
Ag (0.7589, 0.2411, 0.2411)
Ag (0.7589, 0.2411, 0.7589)
Ag (0.7589, 0.7589, 0.2411)